[1]
The following is a DFT calculation (GGA-PBE) of a geometry-optimized Si3SnI structure.

Values from the calculation:
- E_form (uncorrected): 6.17 eV/f.u.
- Total magnetization: 0.23 μB/atom
- Symmetry: Pm-3m, No. 221
- Electronic total energy: -3.13 eV/atom

a = 5.3103 Å, b = 5.3103 Å, c = 5.3103 Å
α = 90.00°, β = 90.00°, γ = 90.00°
Site moments in Bohr magnetons follow the coordinates.
Atoms (fractional coordinates):
1 Si 0.5000 0.0000 0.0000  0.11
2 Si 0.0000 0.5000 0.0000  0.10
3 Si 0.0000 0.0000 0.5000  0.09
4 I 0.5000 0.5000 0.5000  0.08
5 Sn 0.0000 0.0000 0.0000  0.02



[2]
The following is a DFT calculation (GGA-PBE) of a geometry-optimized Li4TcAs structure.

Values from the calculation:
- Energy of formation: 22.21 kJ/mol of atoms
- Total magnetization: 0.29 μB/atom
- Symmetry: F-43m, No. 216
- Electronic total energy: -3.55 eV/atom

a = 4.8171 Å, b = 4.8171 Å, c = 4.8171 Å
α = 60.00°, β = 60.00°, γ = 60.00°
Site moments in Bohr magnetons follow the coordinates.
Atoms (fractional coordinates):
1 Li 0.3757 0.8730 0.3757  0.01
2 Li 0.3757 0.3757 0.8730  0.01
3 Li 0.3757 0.3757 0.3757  0.01
4 Li 0.8730 0.3757 0.3757  0.01
5 Tc 0.7500 0.7500 0.7500  1.35
6 As 0.0000 0.0000 0.0000  0.01



[3]
The following is a DFT calculation (GGA-PBE) of a geometry-optimized HoLuThZn structure.

Values from the calculation:
- Energy of formation: 6.67 kJ/mol of atoms
- Total magnetization: 0.05 μB/atom
- Symmetry: F-43m, No. 216
- Electronic total energy: -4.38 eV/atom

a = 5.3293 Å, b = 5.3293 Å, c = 5.3293 Å
α = 60.00°, β = 60.00°, γ = 60.00°
Atoms (fractional coordinates):
1 Lu 0.0000 0.0000 0.0000
2 Th 0.2500 0.2500 0.2500
3 Zn 0.5000 0.5000 0.5000
4 Ho 0.7500 0.7500 0.7500



[4]
The following is a DFT calculation (GGA-PBE) of a geometry-optimized ScP2PbCl structure.

Values from the calculation:
- E_form (uncorrected): -1.65 eV/f.u.
- Total magnetization: 0.00 μB/atom
- Symmetry: P4/mmm, No. 123
- Electronic total energy: -4.87 eV/atom

a = 5.0229 Å, b = 5.0229 Å, c = 4.9704 Å
α = 90.00°, β = 90.00°, γ = 90.00°
Atoms (fractional coordinates):
1 Cl 0.0000 0.0000 0.5000
2 P 0.0000 0.5000 0.0000
3 P 0.5000 0.0000 0.0000
4 Sc 0.0000 0.0000 0.0000
5 Pb 0.5000 0.5000 0.5000



[5]
The following is a DFT calculation (GGA-PBE) of a geometry-optimized Ta2FeIr9 structure.

Values from the calculation:
- Energy of formation: -44.67 kJ/mol of atoms
- Total magnetization: 0.30 μB/atom
- Symmetry: P4/mmm, No. 123
- Electronic total energy: -9.79 eV/atom

a = 3.9034 Å, b = 3.9034 Å, c = 11.6705 Å
α = 90.00°, β = 90.00°, γ = 90.00°
Site moments in Bohr magnetons follow the coordinates.
Atoms (fractional coordinates):
1 Ir 0.0000 0.5000 0.8368  0.11
2 Ir 0.5000 0.0000 0.1632  0.11
3 Ir 0.5000 0.5000 0.0000  0.09
4 Ir 0.5000 0.0000 0.8368  0.11
5 Ir 0.5000 0.0000 0.5000  0.00
6 Ir 0.0000 0.5000 0.5000  0.00
7 Ir 0.5000 0.5000 0.6678  0.00
8 Ir 0.0000 0.5000 0.1632  0.11
9 Ir 0.5000 0.5000 0.3322  0.00
10 Ta 0.0000 0.0000 0.6712  0.03
11 Ta 0.0000 0.0000 0.3288  0.03
12 Fe 0.0000 0.0000 0.0000  2.96



[6]
The following is a DFT calculation (GGA-PBE) of a geometry-optimized MgGa2Re2 structure.

Values from the calculation:
- Energy of formation: 23.59 kJ/mol of atoms
- Total magnetization: 0.00 μB/atom
- Symmetry: P4/mbm, No. 127
- Electronic total energy: -6.26 eV/atom

a = 7.5796 Å, b = 7.5796 Å, c = 2.8890 Å
α = 90.00°, β = 90.00°, γ = 90.00°
Atoms (fractional coordinates):
1 Ga 0.8217 0.3217 0.5000
2 Ga 0.6783 0.8217 0.5000
3 Ga 0.3217 0.1783 0.5000
4 Ga 0.1783 0.6783 0.5000
5 Re 0.1158 0.3842 0.0000
6 Re 0.8842 0.6158 0.0000
7 Re 0.3842 0.8842 0.0000
8 Re 0.6158 0.1158 0.0000
9 Mg 0.0000 0.0000 0.0000
10 Mg 0.5000 0.5000 0.0000



[7]
The following is a DFT calculation (GGA-PBE) of a geometry-optimized Nd7Ho3Er2 structure.

Values from the calculation:
- Energy of formation: 25.22 kJ/mol of atoms
- Total magnetization: 0.00 μB/atom
- Symmetry: Cmmm, No. 65
- Electronic total energy: -4.42 eV/atom

a = 4.6912 Å, b = 5.5110 Å, c = 16.4159 Å
α = 99.66°, β = 90.00°, γ = 90.00°
Atoms (fractional coordinates):
1 Nd 0.0000 0.4166 0.8332
2 Nd 0.5000 0.9205 0.8411
3 Nd 0.0000 0.0000 0.0000
4 Nd 0.0000 0.2644 0.5289
5 Nd 0.5000 0.0795 0.1589
6 Nd 0.0000 0.5834 0.1668
7 Nd 0.0000 0.7356 0.4711
8 Ho 0.5000 0.5000 0.0000
9 Ho 0.5000 0.6584 0.3168
10 Ho 0.5000 0.3416 0.6832
11 Er 0.0000 0.1595 0.3190
12 Er 0.0000 0.8405 0.6810



[8]
The following is a DFT calculation (GGA-PBE) of a geometry-optimized NdSm3Rh4 structure.

Values from the calculation:
- Energy of formation: -67.19 kJ/mol of atoms
- Total magnetization: 0.00 μB/atom
- Symmetry: Pmmm, No. 47
- Electronic total energy: -6.74 eV/atom

a = 3.4329 Å, b = 5.0169 Å, c = 10.0398 Å
α = 90.00°, β = 90.00°, γ = 90.00°
Atoms (fractional coordinates):
1 Rh 0.0000 0.5000 0.7467
2 Rh 0.0000 0.5000 0.2533
3 Rh 0.0000 0.0000 0.0000
4 Rh 0.0000 0.0000 0.5000
5 Sm 0.5000 0.0000 0.2513
6 Sm 0.5000 0.0000 0.7487
7 Sm 0.5000 0.5000 0.5000
8 Nd 0.5000 0.5000 0.0000



[9]
The following is a DFT calculation (GGA-PBE) of a geometry-optimized ScVIn2Fe structure.

Values from the calculation:
- Energy of formation: 134.35 kJ/mol of atoms
- Total magnetization: 0.07 μB/atom
- Symmetry: P4/mmm, No. 123
- Electronic total energy: -4.49 eV/atom

a = 5.3100 Å, b = 4.0908 Å, c = 5.3100 Å
α = 90.00°, β = 90.00°, γ = 90.00°
Site moments in Bohr magnetons follow the coordinates.
Atoms (fractional coordinates):
1 Fe 0.0000 0.5000 0.0000  -0.06
2 Sc 0.0000 0.0000 0.0000  0.03
3 In 0.5000 0.0000 0.0000  0.01
4 In 0.0000 0.0000 0.5000  0.01
5 V 0.5000 0.5000 0.5000  -0.32



[10]
The following is a DFT calculation (GGA-PBE) of a geometry-optimized Si2TeAu structure.

Values from the calculation:
- E_form (uncorrected): 1.09 eV/f.u.
- Total magnetization: 0.00 μB/atom
- Symmetry: Cm, No. 8
- Electronic total energy: -4.04 eV/atom

a = 6.0197 Å, b = 6.0197 Å, c = 5.6775 Å
α = 77.63°, β = 77.63°, γ = 31.37°
Atoms (fractional coordinates):
1 Si 0.6571 0.6571 0.0004
2 Si 0.9893 0.9893 0.0494
3 Au 0.3247 0.3247 0.0002
4 Te 0.5289 0.5289 0.4500



[11]
The following is a DFT calculation (GGA-PBE) of a geometry-optimized ReSi3O structure.

Values from the calculation:
- E_form (uncorrected): 2.89 eV/f.u.
- Total magnetization: 0.00 μB/atom
- Symmetry: Pm-3m, No. 221
- Electronic total energy: -6.16 eV/atom

a = 4.6155 Å, b = 4.6155 Å, c = 4.6155 Å
α = 90.00°, β = 90.00°, γ = 90.00°
Atoms (fractional coordinates):
1 Si 0.0000 0.5000 0.0000
2 Si 0.0000 0.0000 0.5000
3 Si 0.5000 0.0000 0.0000
4 O 0.5000 0.5000 0.5000
5 Re 0.0000 0.0000 0.0000



[12]
The following is a DFT calculation (GGA-PBE) of a geometry-optimized Cs3V2Cl7 structure.

Values from the calculation:
- E_form (uncorrected): -18.59 eV/f.u.
- Total magnetization: 0.50 μB/atom
- Symmetry: I4/mmm, No. 139
- Electronic total energy: -4.36 eV/atom

a = 5.1000 Å, b = 5.1000 Å, c = 14.0951 Å
α = 100.42°, β = 100.42°, γ = 90.00°
Site moments in Bohr magnetons follow the coordinates.
Atoms (fractional coordinates):
1 Cs 0.5000 0.5000 0.0000  0.00
2 Cs 0.3171 0.3171 0.6342  0.00
3 Cs 0.6829 0.6829 0.3658  0.00
4 Cl 0.9069 0.4069 0.8138  0.00
5 Cl 0.0931 0.5931 0.1862  0.00
6 Cl 0.8145 0.8145 0.6290  -0.01
7 Cl 0.4069 0.9069 0.8138  0.00
8 Cl 0.5931 0.0931 0.1862  0.00
9 Cl 0.0000 0.0000 0.0000  0.00
10 Cl 0.1855 0.1855 0.3710  -0.01
11 V 0.9055 0.9055 0.8110  2.61
12 V 0.0945 0.0945 0.1890  2.61